Record 1
Entry from Alexandria: a geometry-optimized LaCdAs2 structure (PBE).

* electronic total energy: -3.837 eV/atom
* energy of formation: -0.052 eV/atom
* theoretical density: 6.52 g/cm3
* symmetry: P4mm

a b c (Å): 3.2393 3.2393 9.7333
angles (deg): 90.00 90.00 90.00
Sites, in units of the cell vectors:
As  0.0000  0.0000  0.9717
As  0.5000  0.5000  0.2873
Cd  0.0000  0.0000  0.4853
La  0.5000  0.5000  0.7556

Record 2
Entry from Alexandria: a geometry-optimized La2CdAs structure (PBE).

* electronic total energy: -4.005 eV/atom
* energy of formation: -0.151 eV/atom
* theoretical density: 7.15 g/cm3
* symmetry: F-43m

a b c (Å): 5.3458 5.3458 5.3458
angles (deg): 60.00 60.00 60.00
Sites, in units of the cell vectors:
As  0.5000  0.5000  0.5000
Cd  0.7500  0.7500  0.7500
La  0.0000  0.0000  0.0000
La  0.2500  0.2500  0.2500

Record 3
Entry from Alexandria: a geometry-optimized LaCd2As structure (PBE).

* electronic total energy: -2.823 eV/atom
* energy of formation: 0.029 eV/atom
* theoretical density: 7.15 g/cm3
* symmetry: R-3m

a b c (Å): 10.6250 10.6250 10.6250
angles (deg): 18.18 18.18 18.18
Sites, in units of the cell vectors:
As  0.7500  0.7500  0.7500
Cd  0.0080  0.0080  0.0080
Cd  0.4920  0.4920  0.4920
La  0.2500  0.2500  0.2500